# 1
SrLiTbO3 | PBE-GGA | relaxed

The structure in POSCAR format:
```
SrLiTbO3
1.0
3.4274 0.0000 0.0000
0.0000 7.2472 0.2312
0.0000 -1.6740 6.9361
Sr Li Tb O
2 2 2 6
direct
0.2500 0.1815 0.2249
0.7500 0.8185 0.7751
0.2500 0.0811 0.5894
0.7500 0.9189 0.4106
0.2500 0.6601 0.1800
0.7500 0.3399 0.8200
0.7500 0.8654 0.1385
0.2500 0.1346 0.8615
0.2500 0.8183 0.4883
0.7500 0.1817 0.5117
0.7500 0.4364 0.1580
0.2500 0.5636 0.8420
```

Values from the calculation:
The uncorrected formation energy comes out at -16.87 eV/f.u. The space-group type is No. 11. The value obtained for the density of states at the Fermi level is 0.0000 states/eV per atom. Its calculated total energy is -6.662 eV/atom.

***

# 2
SrLiTcO4 | PBE-GGA | relaxed

The structure in POSCAR format:
```
SrLiTcO4
1.0
5.8862 0.0000 0.0000
2.9431 5.0976 0.0000
2.9431 1.6992 4.8061
Sr Li Tc O
1 1 1 4
direct
0.7500 0.7500 0.7500
0.5000 0.5000 0.5000
0.2500 0.2500 0.2500
0.3758 0.3758 0.8727
0.3758 0.3758 0.3758
0.3758 0.8727 0.3758
0.8727 0.3758 0.3758
```

Values from the calculation:
The uncorrected formation energy comes out at -11.09 eV/f.u. The space-group type is No. 216. The value obtained for the density of states at the Fermi level is 0.4590 states/eV per atom. Its calculated total energy is -6.411 eV/atom.

***

# 3
SrLi2Tc2O7 | PBE-GGA | relaxed

The structure in POSCAR format:
```
SrLi2Tc2O7
1.0
-2.4449 1.7953 2.4334
2.0282 -1.3473 3.0324
5.4491 7.1952 -2.9441
Sr Li Tc O
1 2 2 7
direct
0.0000 0.0000 0.0000
0.2505 0.7496 0.5001
0.7495 0.2504 0.4999
0.3866 0.3866 0.7733
0.6134 0.6134 0.2267
0.3914 0.8914 0.7830
0.7177 0.7177 0.4351
0.1086 0.6085 0.2170
0.6086 0.1085 0.2170
0.2823 0.2823 0.5649
0.8914 0.3914 0.7830
0.5000 0.5000 0.0000
```

Values from the calculation:
The uncorrected formation energy comes out at -22.32 eV/f.u. The space-group type is No. 139. The value obtained for the density of states at the Fermi level is 0.4658 states/eV per atom. Its calculated total energy is -6.939 eV/atom.

***

# 4
Sr2Li3TcO6 | PBE-GGA | relaxed

The structure in POSCAR format:
```
Sr2Li3TcO6
1.0
-5.9939 0.9014 0.9415
2.4235 -5.2333 -2.0894
1.5036 -0.4116 5.0087
Sr Li Tc O
2 3 1 6
direct
0.3293 0.6707 0.0000
0.6707 0.3293 0.0000
0.1076 0.8924 0.5000
0.8924 0.1076 0.5000
0.5000 0.5000 0.5000
0.0000 0.0000 0.0000
0.9329 0.6712 0.7593
0.7690 0.7690 0.2312
0.0671 0.3288 0.2407
0.6712 0.9329 0.7593
0.2310 0.2310 0.7688
0.3288 0.0671 0.2407
```

Values from the calculation:
The uncorrected formation energy comes out at -24.47 eV/f.u. The space-group type is No. 12. The value obtained for the density of states at the Fermi level is 0.5628 states/eV per atom. Its calculated total energy is -6.141 eV/atom.

***

# 5
Sr3LiTc2O9 | PBE-GGA | relaxed

The structure in POSCAR format:
```
Sr3LiTc2O9
1.0
-4.3038 -3.0634 -1.8589
5.2126 -1.1960 -1.6616
0.7289 -4.2818 5.3688
Sr Li Tc O
3 1 2 9
direct
0.3333 0.6667 0.6519
0.0000 0.0000 0.0000
0.6667 0.3333 0.3481
0.0000 0.0000 0.5000
0.3333 0.6667 0.1711
0.6667 0.3333 0.8289
0.8280 0.1720 0.6764
0.8280 0.6561 0.6764
0.3439 0.1720 0.6764
0.6561 0.8280 0.3236
0.1720 0.3439 0.3236
0.1720 0.8280 0.3236
0.5000 0.0000 0.0000
0.0000 0.5000 0.0000
0.5000 0.5000 0.0000
```

Values from the calculation:
The uncorrected formation energy comes out at -32.45 eV/f.u. The space-group type is No. 164. The value obtained for the density of states at the Fermi level is 0.3351 states/eV per atom. Its calculated total energy is -6.984 eV/atom.

***

# 6
SrLiTc2O8 | PBE-GGA | relaxed

The structure in POSCAR format:
```
SrLiTc2O8
1.0
-4.4254 0.1477 3.7424
2.8726 -4.9550 -0.8982
4.2819 1.5758 5.0012
Sr Li Tc O
1 1 2 8
direct
0.0000 0.0000 0.5000
0.0000 0.0000 0.0000
0.6667 0.3333 0.2766
0.3333 0.6667 0.7234
0.8353 0.1647 0.2017
0.8353 0.6705 0.2017
0.3295 0.1647 0.2017
0.6705 0.8353 0.7983
0.3333 0.6667 0.4637
0.6667 0.3333 0.5363
0.1647 0.8353 0.7983
0.1647 0.3295 0.7983
```

Values from the calculation:
The uncorrected formation energy comes out at -21.47 eV/f.u. The space-group type is No. 164. The value obtained for the density of states at the Fermi level is 0.5514 states/eV per atom. Its calculated total energy is -7.122 eV/atom.

***

# 7
SrLiTc2O7 | PBE-GGA | relaxed

The structure in POSCAR format:
```
SrLiTc2O7
1.0
-0.7722 -3.7470 -0.6558
3.2028 -1.0014 1.9508
-6.0778 2.0116 7.1495
Sr Li Tc O
1 1 2 7
direct
0.5000 0.5000 0.0000
0.2500 0.7500 0.5000
0.8869 0.8869 0.7738
0.1131 0.1131 0.2262
0.1079 0.6079 0.2158
0.0000 0.0000 0.0000
0.3921 0.8921 0.7842
0.7895 0.7895 0.5789
0.6014 0.1014 0.2028
0.2105 0.2105 0.4211
0.8986 0.3986 0.7972
```

Values from the calculation:
The uncorrected formation energy comes out at -19.37 eV/f.u. The space-group type is No. 119. The value obtained for the density of states at the Fermi level is 0.6252 states/eV per atom. Its calculated total energy is -7.128 eV/atom.

***

# 8
SrLiTe2O6 | PBE-GGA | relaxed

The structure in POSCAR format:
```
SrLiTe2O6
1.0
-0.8795 7.4750 0.1131
-2.2260 3.0255 -6.1370
-6.6619 2.3912 1.2933
Sr Li Te O
2 2 4 12
direct
0.2500 0.8290 0.1710
0.7500 0.1710 0.8290
0.2500 0.2166 0.7834
0.7500 0.7834 0.2166
0.3125 0.7057 0.6854
0.1875 0.3146 0.2943
0.6875 0.2943 0.3146
0.8125 0.6854 0.7057
0.1925 0.9572 0.8034
0.3075 0.1966 0.0428
0.8075 0.0428 0.1966
0.6925 0.8034 0.9572
0.4692 0.7631 0.4039
0.0308 0.5961 0.2369
0.5308 0.2369 0.5961
0.9692 0.4039 0.7631
0.0546 0.7818 0.5886
0.4454 0.4114 0.2182
0.9454 0.2182 0.4114
0.5546 0.5886 0.7818
```

Values from the calculation:
The uncorrected formation energy comes out at -15.98 eV/f.u. The space-group type is No. 15. The value obtained for the density of states at the Fermi level is 0.2596 states/eV per atom. Its calculated total energy is -5.561 eV/atom.

***

- What is the calculated total energy in the fifth record?
  -6.984 eV/atom